No. 1
The following is a DFT calculation (PBE-GGA) of crystalline NaPu2NbO8 at its relaxed geometry.

Unit cell a=4.947 b=4.947 c=6.833 alpha=90.00 beta=90.00 gamma=90.96
Fractional positions:
Na (0.000, 0.000, 0.000)
Pu (0.500, 0.500, 0.250)
Pu (0.500, 0.500, 0.750)
Nb (0.000, 0.000, 0.500)
O (0.197, 0.197, 0.287)
O (0.197, 0.197, 0.713)
O (0.296, 0.704, 0.500)
O (0.325, 0.675, 0.000)
O (0.675, 0.325, 0.000)
O (0.704, 0.296, 0.500)
O (0.803, 0.803, 0.287)
O (0.803, 0.803, 0.713)

Output
- N(E_F) (states/eV per atom) = 0.74
- mass density (g cm⁻³) = 7.27
- E_form (uncorrected) (kJ per mole of atoms) = -246
- crystal system = orthorhombic

***

No. 2
The following is a DFT calculation (PBE-GGA) of crystalline PrNd3Sm7 at its relaxed geometry.

Unit cell a=8.597 b=8.597 c=5.985 alpha=110.36 beta=110.36 gamma=83.18
Fractional positions:
Pr (0.000, 0.000, 0.000)
Nd (0.291, 0.709, 0.500)
Nd (0.500, 0.500, 0.000)
Nd (0.709, 0.291, 0.500)
Sm (0.000, 0.000, 0.500)
Sm (0.097, 0.495, 0.796)
Sm (0.294, 0.294, 0.295)
Sm (0.495, 0.097, 0.796)
Sm (0.505, 0.903, 0.204)
Sm (0.706, 0.706, 0.705)
Sm (0.903, 0.505, 0.204)

Output
- excess energy over the best structure of this formula in the dataset (eV/f.u.) = 0.14
- N(E_F) (states/eV per atom) = 1.52
- mass density (g cm⁻³) = 6.95
- formation energy (eV/atom) = 0.22
- crystal system = monoclinic

***

No. 3
The following is a DFT calculation (PBE-GGA) of crystalline K2RbCuHg at its relaxed geometry.

Unit cell a=6.445 b=6.445 c=5.308 alpha=90.00 beta=90.00 gamma=90.00
Fractional positions:
K (0.000, 0.500, 0.000)
K (0.500, 0.000, 0.000)
Rb (0.000, 0.000, 0.500)
Cu (0.500, 0.500, 0.000)
Hg (0.500, 0.500, 0.500)

Output
- N(E_F) (states/eV per atom) = 0.46
- mass density (g cm⁻³) = 3.22
- formation energy (eV/atom) = 0.09
- crystal system = tetragonal

***

No. 4
The following is a DFT calculation (PBE-GGA) of crystalline Ho6In4Pb7 at its relaxed geometry.

Unit cell a=8.657 b=8.657 c=8.657 alpha=109.47 beta=109.47 gamma=109.47
Fractional positions:
Ho (0.000, 0.291, 0.291)
Ho (0.000, 0.709, 0.709)
Ho (0.291, 0.000, 0.291)
Ho (0.291, 0.291, 0.000)
Ho (0.709, 0.000, 0.709)
Ho (0.709, 0.709, 0.000)
In (0.000, 0.000, 0.500)
In (0.000, 0.500, 0.000)
In (0.500, 0.000, 0.000)
In (0.500, 0.500, 0.500)
Pb (0.000, 0.000, 0.000)
Pb (0.250, 0.500, 0.750)
Pb (0.250, 0.750, 0.500)
Pb (0.500, 0.250, 0.750)
Pb (0.500, 0.750, 0.250)
Pb (0.750, 0.250, 0.500)
Pb (0.750, 0.500, 0.250)

Output
- N(E_F) (states/eV per atom) = 0.88
- mass density (g cm⁻³) = 9.64
- formation energy (eV/atom) = -0.15
- crystal system = cubic

***

No. 5
The following is a DFT calculation (PBE-GGA) of crystalline ScHg2Se at its relaxed geometry.

Unit cell a=7.577 b=7.577 c=7.577 alpha=30.43 beta=30.43 gamma=30.43
Fractional positions:
Sc (0.000, 0.000, 0.000)
Hg (0.249, 0.249, 0.249)
Hg (0.751, 0.751, 0.751)
Se (0.500, 0.500, 0.500)

Output
- N(E_F) (states/eV per atom) = 0.42
- mass density (g cm⁻³) = 8.82
- E_form (uncorrected) (kJ per mole of atoms) = -20
- crystal system = trigonal

***

No. 6
The following is a DFT calculation (PBE-GGA) of crystalline Y4Pd2Rh at its relaxed geometry.

Unit cell a=8.552 b=8.552 c=8.552 alpha=33.29 beta=33.29 gamma=33.29
Fractional positions:
Y (0.124, 0.124, 0.124)
Y (0.374, 0.374, 0.374)
Y (0.626, 0.626, 0.626)
Y (0.876, 0.876, 0.876)
Pd (0.250, 0.250, 0.250)
Pd (0.750, 0.750, 0.750)
Rh (0.000, 0.000, 0.000)

Output
- N(E_F) (states/eV per atom) = 0.72
- mass density (g cm⁻³) = 6.64
- formation energy (eV/atom) = -0.72
- crystal system = trigonal

***

No. 7
The following is a DFT calculation (PBE-GGA) of crystalline Nd2Cu5Au at its relaxed geometry.

Unit cell a=8.111 b=8.111 c=9.044 alpha=90.00 beta=90.00 gamma=149.89
Fractional positions:
Nd (0.000, 0.000, 0.000)
Nd (0.000, 0.000, 0.500)
Nd (0.206, 0.794, 0.750)
Nd (0.794, 0.206, 0.250)
Cu (0.178, 0.822, 0.116)
Cu (0.178, 0.822, 0.384)
Cu (0.338, 0.662, 0.014)
Cu (0.338, 0.662, 0.486)
Cu (0.393, 0.607, 0.750)
Cu (0.607, 0.393, 0.250)
Cu (0.662, 0.338, 0.514)
Cu (0.662, 0.338, 0.986)
Cu (0.822, 0.178, 0.616)
Cu (0.822, 0.178, 0.884)
Au (0.441, 0.559, 0.250)
Au (0.559, 0.441, 0.750)

Output
- N(E_F) (states/eV per atom) = 0.62
- mass density (g cm⁻³) = 8.94
- formation energy (eV/atom) = -0.27
- crystal system = orthorhombic

***

No. 8
The following is a DFT calculation (PBE-GGA) of crystalline Na2Eu at its relaxed geometry.

Unit cell a=8.960 b=8.960 c=8.960 alpha=155.97 beta=155.97 gamma=34.24
Fractional positions:
Na (0.171, 0.171, 0.000)
Na (0.829, 0.829, 0.000)
Eu (0.500, 0.500, 0.000)

Output
- excess energy over the best structure of this formula in the dataset (eV/f.u.) = 0.06
- N(E_F) (states/eV per atom) = 3.06
- mass density (g cm⁻³) = 2.76
- formation energy (eV/atom) = 0.08
- crystal system = tetragonal